Below is crystalline SrPt2Cl at its relaxed geometry, with properties calculated at the PBE level.

## Properties
* excess energy over the best structure of this formula in the dataset: 1034.8 meV per atom
* formation energy (no corrections): 0.9 eV/f.u.
* DOS(E_F): 6.63 states/eV/cell
* magnetization: 0.00 μB/atom

a = 9.0757 Å, b = 9.0757 Å, c = 9.0757 Å
α = 21.00°, β = 21.00°, γ = 21.00°
Last column: nearest neighbours and their distance in Å.
Atoms (fractional coordinates):
Sr  0.0000  0.0000  0.0000  6 Pt 3.06, 6 Sr 3.31
Pt  0.2437  0.2437  0.2437  3 Cl 2.80, 3 Sr 3.06
Pt  0.7563  0.7563  0.7563  3 Cl 2.80, 3 Sr 3.06
Cl  0.5000  0.5000  0.5000  6 Pt 2.80